# NiPbW

NiPbW at its PBEsol-relaxed geometry (SCAN, the Alexandria database).

Unit cell a=3.9729 b=4.4380 c=11.4016 alpha=90.00 beta=90.00 gamma=90.00
Space group Fmm2 (No. 42)
Asymmetric unit:
Ni: 0.0000 0.0000 0.0000 [4 per cell]
Pb: 0.0000 0.0000 0.6740 [4 per cell]
W: 0.0000 0.0000 0.3710 [4 per cell]

## Properties
D(E_F) = 5.48 states/eV per cell
Total moment = 0.00 μB/f.u.
E_form = 2.16 eV per formula unit
Calculated density = 14.9 Mg/m³